Sm2Tl2Ag3: relaxed, PBE.

Summary:
- Volume: 176 Å³/cell
- E_tot: -23.65 eV per cell
- DFT formation energy: -0.13 eV per atom
- Size of the total moment: 0.3 μB per formula unit

Cell lengths 13.667, 13.667, 3.532 Å; angles 90.00, 90.00, 164.51 degrees
Fractional coordinates of all 7 atoms:
Sm: 0.123 0.877 0.000
Sm: 0.877 0.123 0.000
Tl: 0.296 0.704 0.500
Tl: 0.704 0.296 0.500
Ag: 0.000 0.000 0.000
Ag: 0.447 0.553 0.500
Ag: 0.553 0.447 0.500

Rb5Sb3Au3: relaxed, PBE.

Summary:
- Volume: 492 Å³/cell
- ΔE_f (raw): -401 meV per atom
- E_tot: -31.45 eV per cell
- Size of the total moment: 0.0 μB per formula unit

Cell lengths 10.694, 10.694, 4.966 Å; angles 90.07, 90.07, 120.02 degrees
Fractional coordinates of all 11 atoms:
Rb: 0.000 0.000 0.000
Rb: 0.255 0.510 0.993
Rb: 0.510 0.255 0.993
Rb: 0.588 0.922 0.497
Rb: 0.922 0.588 0.497
Sb: 0.255 0.860 0.999
Sb: 0.651 0.651 0.994
Sb: 0.860 0.255 0.999
Au: 0.255 0.941 0.499
Au: 0.569 0.569 0.493
Au: 0.941 0.255 0.499

SrTeMo2: relaxed, PBE.

Summary:
- Volume: 113 Å³/cell
- ΔE_f (raw): 523 meV per atom
- E_tot: -24.39 eV per cell
- Size of the total moment: 0.0 μB per formula unit

Cell lengths 4.559, 4.985, 4.972 Å; angles 90.00, 91.92, 90.00 degrees
Fractional coordinates of all 4 atoms:
Sr: 0.000 0.000 0.000
Te: 0.500 0.000 0.500
Mo: 0.476 0.500 0.788
Mo: 0.524 0.500 0.212

Ca2Cd3Hg4: relaxed, PBE.

Summary:
- Volume: 222 Å³/cell
- E_tot: -10.81 eV per cell
- Offset from the most stable computed form: 0.000 eV/atom
- DFT formation energy: -0.32 eV per atom
- Size of the total moment: 0.0 μB per formula unit

Cell lengths 5.106, 5.106, 9.825 Å; angles 90.14, 90.14, 59.96 degrees
Fractional coordinates of all 9 atoms:
Ca: 0.167 0.167 0.223
Ca: 0.833 0.833 0.777
Cd: 0.166 0.166 0.572
Cd: 0.500 0.500 0.000
Cd: 0.834 0.834 0.428
Hg: 0.167 0.167 0.901
Hg: 0.499 0.499 0.658
Hg: 0.501 0.501 0.342
Hg: 0.833 0.833 0.099

Pr2AlSb: relaxed, PBE.

Summary:
- Volume: 125 Å³/cell
- ΔE_f (raw): -98 meV per atom
- E_tot: -17.82 eV per cell
- Size of the total moment: 0.0 μB per formula unit

Cell lengths 11.193, 11.193, 11.193 Å; angles 18.66, 18.66, 18.66 degrees
Fractional coordinates of all 4 atoms:
Pr: 0.096 0.096 0.096
Pr: 0.904 0.904 0.904
Al: 0.500 0.500 0.500
Sb: 0.000 0.000 0.000